[1]
An optimized crystal structure of SmAuO3, computed with PBE-GGA.

Computed properties:
E_tot: -0.471 Ry per atom
Spin magnetization: 0.0000 μB per atom
Symmetry: Pbcm, No. 57
N(E_F): 0.00 states/eV per atom
Uncorrected formation energy: -1837 meV per atom

Cell lengths 3.9460, 13.0223, 5.6613 Å; angles 90.00, 90.00, 90.00 degrees
Element x y z (fractional)
Sm 0.2381 0.0777 0.2500
Sm 0.2381 0.4223 0.7500
Sm 0.7619 0.5777 0.2500
Sm 0.7619 0.9223 0.7500
Au 0.4342 0.6697 0.7500
Au 0.4342 0.8303 0.2500
Au 0.5658 0.1697 0.7500
Au 0.5658 0.3303 0.2500
O 0.2431 0.5758 0.5012
O 0.2431 0.5758 0.9988
O 0.2431 0.9242 0.0012
O 0.2431 0.9242 0.4988
O 0.3087 0.2500 0.0000
O 0.3087 0.2500 0.5000
O 0.6913 0.7500 0.0000
O 0.6913 0.7500 0.5000
O 0.7569 0.0758 0.5012
O 0.7569 0.0758 0.9988
O 0.7569 0.4242 0.0012
O 0.7569 0.4242 0.4988

---

[2]
An optimized crystal structure of TlP, computed with PBE-GGA.

Computed properties:
E_tot: -0.282 Ry per atom
Spin magnetization: 0.0000 μB per atom
Symmetry: P-1, No. 2
N(E_F): 0.19 states/eV per atom
Energy of formation from the pure elements: 0.047 eV per atom

Cell lengths 3.2925, 5.9338, 6.3594 Å; angles 63.93, 76.30, 85.96 degrees
Element x y z (fractional)
Tl 0.2379 0.2958 0.3034
Tl 0.7621 0.7042 0.6966
P 0.2088 0.8994 0.1188
P 0.7912 0.1006 0.8812

---

[3]
An optimized crystal structure of DyPa2Te6, computed with PBE-GGA.

Computed properties:
E_tot: -0.409 Ry per atom
Spin magnetization: 0.1206 μB per atom
Symmetry: P4_2/mnm, No. 136
N(E_F): 0.65 states/eV per atom
Uncorrected formation energy: -851 meV per atom

Cell lengths 7.2873, 7.2873, 13.2670 Å; angles 90.00, 90.00, 90.00 degrees
Element x y z (fractional)
Dy 0.0000 0.0000 0.0000
Dy 0.5000 0.5000 0.5000
Pa 0.0000 0.0000 0.3336
Pa 0.0000 0.0000 0.6664
Pa 0.5000 0.5000 0.1664
Pa 0.5000 0.5000 0.8336
Te 0.1995 0.1995 0.5000
Te 0.2029 0.2029 0.1692
Te 0.2029 0.2029 0.8308
Te 0.2971 0.7029 0.3308
Te 0.2971 0.7029 0.6692
Te 0.3005 0.6995 0.0000
Te 0.6995 0.3005 0.0000
Te 0.7029 0.2971 0.3308
Te 0.7029 0.2971 0.6692
Te 0.7971 0.7971 0.1692
Te 0.7971 0.7971 0.8308
Te 0.8005 0.8005 0.5000

---

[4]
An optimized crystal structure of Mn4V2C, computed with PBE-GGA.

Computed properties:
E_tot: -0.654 Ry per atom
Spin magnetization: 0.5745 μB per atom
Symmetry: I4/mmm, No. 139
N(E_F): 0.84 states/eV per atom
Energy of formation from the pure elements: 0.271 eV per atom

Cell lengths 3.7651, 3.7651, 12.1251 Å; angles 90.00, 90.00, 90.00 degrees
Element x y z (fractional)
Mn 0.0000 0.0000 0.1664
Mn 0.0000 0.0000 0.8336
Mn 0.0000 0.5000 0.0000
Mn 0.0000 0.5000 0.5000
Mn 0.5000 0.0000 0.0000
Mn 0.5000 0.0000 0.5000
Mn 0.5000 0.5000 0.3336
Mn 0.5000 0.5000 0.6664
V 0.0000 0.0000 0.3579
V 0.0000 0.0000 0.6421
V 0.5000 0.5000 0.1421
V 0.5000 0.5000 0.8579
C 0.0000 0.0000 0.0000
C 0.5000 0.5000 0.5000

---

[5]
An optimized crystal structure of Hf2Zr4Pb, computed with PBE-GGA.

Computed properties:
E_tot: -0.591 Ry per atom
Spin magnetization: 0.0000 μB per atom
Symmetry: I4/mcm, No. 140
N(E_F): 0.97 states/eV per atom
Energy of formation from the pure elements: 0.215 eV per atom

Cell lengths 9.6236, 9.6236, 9.6236 Å; angles 141.10, 141.10, 56.18 degrees
Element x y z (fractional)
Hf 0.1572 0.6572 0.8144
Hf 0.3428 0.1572 0.5000
Hf 0.6572 0.8428 0.5000
Hf 0.8428 0.3428 0.1856
Zr 0.0023 0.1969 0.5000
Zr 0.1969 0.6969 0.1946
Zr 0.3031 0.4977 0.5000
Zr 0.4977 0.9977 0.1946
Zr 0.5023 0.0023 0.8054
Zr 0.6969 0.5023 0.5000
Zr 0.8031 0.3031 0.8054
Zr 0.9977 0.8031 0.5000
Pb 0.2500 0.2500 0.0000
Pb 0.7500 0.7500 0.0000

---

[6]
An optimized crystal structure of MgCu2Tc, computed with PBE-GGA.

Computed properties:
E_tot: -0.360 Ry per atom
Spin magnetization: 0.0000 μB per atom
Symmetry: Cm, No. 8
N(E_F): 0.35 states/eV per atom
Energy of formation from the pure elements: 0.139 eV per atom

Cell lengths 10.0438, 2.5765, 4.8196 Å; angles 90.00, 116.24, 90.00 degrees
Element x y z (fractional)
Mg 0.0000 0.0000 0.0000
Mg 0.5000 0.5000 0.0000
Cu 0.0062 0.5000 0.4939
Cu 0.2451 0.0000 0.9139
Cu 0.5062 0.0000 0.4939
Cu 0.7451 0.5000 0.9139
Tc 0.2608 0.5000 0.4295
Tc 0.7608 0.0000 0.4295

---

[7]
An optimized crystal structure of LaCdFe2, computed with PBE-GGA.

Computed properties:
E_tot: -0.387 Ry per atom
Spin magnetization: 0.9510 μB per atom
Symmetry: P4/mmm, No. 123
N(E_F): 1.22 states/eV per atom
Energy of formation from the pure elements: 0.422 eV per atom

Cell lengths 4.6778, 4.6778, 3.4505 Å; angles 90.00, 90.00, 90.00 degrees
Element x y z (fractional)
La 0.0000 0.0000 0.0000
Cd 0.5000 0.5000 0.0000
Fe 0.0000 0.5000 0.5000
Fe 0.5000 0.0000 0.5000

---

[8]
An optimized crystal structure of Ce2PmBr6, computed with PBE-GGA.

Computed properties:
E_tot: -0.337 Ry per atom
Spin magnetization: 0.4296 μB per atom
Symmetry: C2/m, No. 12
N(E_F): 1.50 states/eV per atom
Offset from the most stable computed form: 0.000 eV/atom
Uncorrected formation energy: -1625 meV per atom

Cell lengths 7.8526, 7.8526, 12.0811 Å; angles 118.92, 118.92, 29.45 degrees
Element x y z (fractional)
Ce 0.1742 0.1742 0.3459
Ce 0.8258 0.8258 0.6541
Pm 0.5000 0.5000 0.0000
Br 0.1583 0.1583 0.5833
Br 0.1655 0.1655 0.0882
Br 0.4994 0.4994 0.7557
Br 0.5006 0.5006 0.2443
Br 0.8345 0.8345 0.9118
Br 0.8417 0.8417 0.4167

---

[9]
An optimized crystal structure of YGeTe2, computed with PBE-GGA.

Computed properties:
E_tot: -0.355 Ry per atom
Spin magnetization: 0.0000 μB per atom
Symmetry: R-3m, No. 166
N(E_F): 0.46 states/eV per atom
Uncorrected formation energy: -495 meV per atom

Cell lengths 4.2285, 4.2285, 28.2500 Å; angles 90.00, 90.00, 120.00 degrees
Element x y z (fractional)
Y 0.0000 0.0000 0.0000
Y 0.3333 0.6667 0.6667
Y 0.6667 0.3333 0.3333
Ge 0.0000 0.0000 0.5000
Ge 0.3333 0.6667 0.1667
Ge 0.6667 0.3333 0.8333
Te 0.0000 0.0000 0.3983
Te 0.0000 0.0000 0.6017
Te 0.3333 0.6667 0.0649
Te 0.3333 0.6667 0.2684
Te 0.6667 0.3333 0.7316
Te 0.6667 0.3333 0.9351

---

[10]
An optimized crystal structure of LaPm5Hg2, computed with PBE-GGA.

Computed properties:
E_tot: -0.282 Ry per atom
Spin magnetization: 0.0000 μB per atom
Symmetry: Immm, No. 71
N(E_F): 1.18 states/eV per atom
Energy of formation from the pure elements: -0.176 eV per atom

Cell lengths 3.7983, 10.6448, 12.5730 Å; angles 90.00, 90.00, 90.00 degrees
Element x y z (fractional)
La 0.0000 0.0000 0.0000
La 0.5000 0.5000 0.5000
Pm 0.0000 0.2199 0.3609
Pm 0.0000 0.2199 0.6391
Pm 0.0000 0.5000 0.0000
Pm 0.0000 0.7801 0.3609
Pm 0.0000 0.7801 0.6391
Pm 0.5000 0.0000 0.5000
Pm 0.5000 0.2801 0.1391
Pm 0.5000 0.2801 0.8609
Pm 0.5000 0.7199 0.1391
Pm 0.5000 0.7199 0.8609
Hg 0.0000 0.5000 0.2661
Hg 0.0000 0.5000 0.7339
Hg 0.5000 0.0000 0.2339
Hg 0.5000 0.0000 0.7661

---

[11]
An optimized crystal structure of LaCd2Rh, computed with PBE-GGA.

Computed properties:
E_tot: -0.256 Ry per atom
Spin magnetization: 0.1607 μB per atom
Symmetry: R-3m, No. 166
N(E_F): 1.07 states/eV per atom
Energy of formation from the pure elements: 0.048 eV per atom

Cell lengths 3.2074, 3.2074, 30.1969 Å; angles 90.00, 90.00, 120.00 degrees
Element x y z (fractional)
La 0.0000 0.0000 0.0000
La 0.3333 0.6667 0.6667
La 0.6667 0.3333 0.3333
Cd 0.0000 0.0000 0.2362
Cd 0.0000 0.0000 0.7638
Cd 0.3333 0.6667 0.4305
Cd 0.3333 0.6667 0.9028
Cd 0.6667 0.3333 0.0972
Cd 0.6667 0.3333 0.5695
Rh 0.0000 0.0000 0.5000
Rh 0.3333 0.6667 0.1667
Rh 0.6667 0.3333 0.8333

---

[12]
An optimized crystal structure of Y4CdOs, computed with PBE-GGA.

Computed properties:
E_tot: -0.471 Ry per atom
Spin magnetization: 0.0000 μB per atom
Symmetry: C2/m, No. 12
N(E_F): 1.32 states/eV per atom
Offset from the most stable computed form: 0.188 eV/atom
Energy of formation from the pure elements: -0.080 eV per atom

Cell lengths 8.7686, 5.0422, 8.5258 Å; angles 90.00, 109.94, 90.00 degrees
Element x y z (fractional)
Y 0.1149 0.0000 0.3431
Y 0.1354 0.5000 0.9066
Y 0.3646 0.0000 0.0934
Y 0.3851 0.5000 0.6569
Y 0.6149 0.5000 0.3431
Y 0.6354 0.0000 0.9066
Y 0.8646 0.5000 0.0934
Y 0.8851 0.0000 0.6569
Cd 0.0000 0.5000 0.5000
Cd 0.5000 0.0000 0.5000
Os 0.0000 0.0000 0.0000
Os 0.5000 0.5000 0.0000

---

What is the spin magnetization in the eleventh record? 0.1607 μB per atom